{
  "formula": "Cs3Tl2Cd2Sb4",
  "functional": "PBE",
  "state": "relaxed",
  "spacegroup": "No. 164",
  "energy_ev_per_atom": -2.5313,
  "e_form_raw_kj_per_mol_fu": -215.3,
  "lattice": [[5.115, 0.000, 0.000], [-2.558, 4.430, 0.000], [0.000, 0.000, 20.775]],
  "species": ["Cs", "Cs", "Cs", "Tl", "Tl", "Cd", "Cd", "Sb", "Sb", "Sb", "Sb"],
  "fractional_positions": [[0.000, 0.000, 0.000], [0.000, 0.000, 0.294], [0.000, 0.000, 0.706], [0.333, 0.667, 0.149], [0.667, 0.333, 0.851], [0.333, 0.667, 0.556], [0.667, 0.333, 0.444], [0.333, 0.667, 0.413], [0.333, 0.667, 0.859], [0.667, 0.333, 0.141], [0.667, 0.333, 0.587]]
}